The following is a PBE calculation of an optimized crystal structure of PuNbNi, from OQMD.

The total moment is 0.00 μB/f.u. The calculation puts the energy above the lowest structure with this stoichiometry at 520 meV per atom. For the energy relative to the elements, the calculation gives 1.069 eV/atom.

The structure belongs to space group F-43m (No. 216); the cell edges are 6.0828, 6.0828 and 6.0828 Å and the angles 90.00°, 90.00° and 90.00°. The inequivalent atoms are Pu at (0.0000, 0.0000, 0.0000), Nb at (0.2500, 0.2500, 0.7500) and Ni at (0.2500, 0.2500, 0.2500).

---

The following is a PBE calculation of an optimized crystal structure of RbNbNi, from OQMD.

The total moment is 0.14 μB/f.u. The calculation puts the energy above the lowest structure with this stoichiometry at 778 meV per atom.

The structure belongs to space group F-43m (No. 216); the cell edges are 6.4202, 6.4202 and 6.4202 Å and the angles 90.00°, 90.00° and 90.00°. The inequivalent atoms are Rb at (0.0000, 0.0000, 0.0000), Nb at (0.2500, 0.2500, 0.7500) and Ni at (0.2500, 0.2500, 0.2500).

---

> Look up the energy above the lowest structure with this stoichiometry of the second one.

778 meV per atom

---

What did the first record say?
The following is a PBE calculation of an optimized crystal structure of PuNbNi, from OQMD.

The total moment is 0.00 μB/f.u. The calculation puts the energy above the lowest structure with this stoichiometry at 520 meV per atom. For the energy relative to the elements, the calculation gives 1.069 eV/atom.

The structure belongs to space group F-43m (No. 216); the cell edges are 6.0828, 6.0828 and 6.0828 Å and the angles 90.00°, 90.00° and 90.00°. The inequivalent atoms are Pu at (0.0000, 0.0000, 0.0000), Nb at (0.2500, 0.2500, 0.7500) and Ni at (0.2500, 0.2500, 0.2500).

---

What did the first record say?
The following is a PBE calculation of an optimized crystal structure of PuNbNi, from OQMD.

The total moment is 0.00 μB/f.u. The calculation puts the energy above the lowest structure with this stoichiometry at 520 meV per atom. For the energy relative to the elements, the calculation gives 1.069 eV/atom.

The structure belongs to space group F-43m (No. 216); the cell edges are 6.0828, 6.0828 and 6.0828 Å and the angles 90.00°, 90.00° and 90.00°. The inequivalent atoms are Pu at (0.0000, 0.0000, 0.0000), Nb at (0.2500, 0.2500, 0.7500) and Ni at (0.2500, 0.2500, 0.2500).